1.
{"formula": "Pr3SbH", "functional": "PBE", "state": "relaxed", "lattice": [[4.261, 0.000, 0.000], [2.130, 7.600, 0.000], [0.003, 0.392, 8.818]], "species": ["Pr", "Pr", "Pr", "Pr", "Pr", "Pr", "Sb", "Sb", "H", "H"], "frac_coords": [[0.030, 0.440, 0.299], [0.243, 0.012, 0.700], [0.386, 0.729, 0.048], [0.614, 0.271, 0.952], [0.757, 0.988, 0.300], [0.970, 0.560, 0.701], [0.387, 0.726, 0.445], [0.613, 0.274, 0.555], [0.111, 0.277, 0.840], [0.889, 0.723, 0.160]], "sg": "P-1", "polymorph_energy_ev_per_atom": 0.020}



2.
{"formula": "Pr3SbH3", "functional": "PBE", "state": "relaxed", "lattice": [[6.545, 0.000, 0.000], [0.000, 6.545, 0.000], [0.000, 0.000, 6.545]], "species": ["Pr", "Pr", "Pr", "Pr", "Pr", "Pr", "Sb", "Sb", "H", "H", "H", "H", "H", "H"], "frac_coords": [[0.000, 0.250, 0.500], [0.000, 0.750, 0.500], [0.250, 0.500, 0.000], [0.500, 0.000, 0.250], [0.500, 0.000, 0.750], [0.750, 0.500, 0.000], [0.000, 0.000, 0.000], [0.500, 0.500, 0.500], [0.000, 0.500, 0.250], [0.000, 0.500, 0.750], [0.250, 0.000, 0.500], [0.500, 0.250, 0.000], [0.500, 0.750, 0.000], [0.750, 0.000, 0.500]], "sg": "Pm-3n", "polymorph_energy_ev_per_atom": 0.054}



3.
{"formula": "PrSbH", "functional": "PBE", "state": "relaxed", "lattice": [[4.463, -4.608, 0.000], [4.463, 4.608, 0.000], [-4.101, 0.000, 6.573]], "species": ["Pr", "Pr", "Pr", "Pr", "Sb", "Sb", "Sb", "Sb", "H", "H", "H", "H"], "frac_coords": [[0.134, 0.866, 0.500], [0.406, 0.891, 0.100], [0.866, 0.134, 0.000], [0.891, 0.406, 0.600], [0.310, 0.340, 0.437], [0.340, 0.310, 0.937], [0.628, 0.798, 0.508], [0.798, 0.628, 0.008], [0.076, 0.884, 0.166], [0.158, 0.738, 0.753], [0.738, 0.158, 0.253], [0.884, 0.076, 0.666]], "sg": "Cc", "polymorph_energy_ev_per_atom": 0.112}



4.
{"formula": "Pr4Sb2H", "functional": "PBE", "state": "relaxed", "lattice": [[7.209, 0.000, 0.000], [0.000, 6.543, 0.000], [-2.669, 0.000, 8.513]], "species": ["Pr", "Pr", "Pr", "Pr", "Pr", "Pr", "Pr", "Pr", "Sb", "Sb", "Sb", "Sb", "H", "H"], "frac_coords": [[0.008, 0.001, 0.277], [0.008, 0.499, 0.277], [0.384, 0.750, 0.077], [0.423, 0.750, 0.628], [0.577, 0.250, 0.372], [0.616, 0.250, 0.923], [0.992, 0.501, 0.723], [0.992, 0.999, 0.723], [0.233, 0.250, 0.049], [0.296, 0.250, 0.583], [0.704, 0.750, 0.417], [0.767, 0.750, 0.951], [0.234, 0.750, 0.805], [0.766, 0.250, 0.195]], "sg": "P2_1/m", "polymorph_energy_ev_per_atom": 0.037}



5.
{"formula": "Pr2SbH", "functional": "PBE", "state": "relaxed", "lattice": [[6.349, 0.000, 0.000], [0.000, 6.312, 0.000], [-5.486, 0.000, 10.299]], "species": ["Pr", "Pr", "Pr", "Pr", "Pr", "Pr", "Pr", "Pr", "Sb", "Sb", "Sb", "Sb", "H", "H", "H", "H"], "frac_coords": [[0.162, 0.236, 0.082], [0.162, 0.764, 0.582], [0.321, 0.369, 0.832], [0.321, 0.631, 0.332], [0.679, 0.369, 0.668], [0.679, 0.631, 0.168], [0.838, 0.236, 0.418], [0.838, 0.764, 0.918], [0.306, 0.128, 0.390], [0.306, 0.872, 0.890], [0.694, 0.128, 0.110], [0.694, 0.872, 0.610], [0.001, 0.436, 0.618], [0.001, 0.564, 0.118], [0.999, 0.436, 0.882], [0.999, 0.564, 0.382]], "sg": "P2/c", "polymorph_energy_ev_per_atom": 0.050}



6.
{"formula": "Pr5Sb2H", "functional": "PBE", "state": "relaxed", "lattice": [[-3.607, 3.607, 4.507], [3.607, -3.607, 4.507], [3.607, 3.607, -4.507]], "species": ["Pr", "Pr", "Pr", "Pr", "Pr", "Sb", "Sb", "H"], "frac_coords": [[0.000, 0.000, 0.000], [0.496, 0.496, 0.497], [0.496, 0.999, 0.000], [0.999, 0.496, 0.000], [0.999, 0.999, 0.503], [0.497, 0.997, 0.500], [0.997, 0.497, 0.500], [0.269, 0.269, 0.000]], "sg": "I4mm"}



no.,calculated total energy (eV/atom),calculated volume (A^3/atom),total magnetic moment (μB per atom)
1,-4.93,28.557,0.000
2,-4.68,20.026,0.000
3,-4.68,22.531,0.000
4,-5.18,28.678,0.000
5,-4.86,25.797,0.000
6,-4.99,29.316,0.000